(1)
YInMo2 | meta-GGA SCAN | PBEsol geometry

Summary:
M_tot ... 0.0 μB per cell
Crystal system ... trigonal
Energy ... -128.19 eV per cell
DOS(E_F) ... 3.8 states/eV/f.u.

a b c (Å): 3.001 3.001 9.965
angles (deg): 81.34 81.34 60.00
Atoms (fractional coordinates):
1 Mo 0.746 0.746 0.762
2 Mo 0.254 0.254 0.238
3 Y 0.500 0.500 0.500
4 In 0.000 0.000 0.000



(2)
YInMo2 | meta-GGA SCAN | PBEsol geometry

Summary:
M_tot ... 0.0 μB per cell
Crystal system ... tetragonal
Energy ... -129.75 eV per cell
DOS(E_F) ... 3.4 states/eV/f.u.

a b c (Å): 4.077 4.077 4.547
angles (deg): 90.00 90.00 90.00
Atoms (fractional coordinates):
1 Mo 0.000 0.500 0.000
2 Mo 0.500 0.000 0.000
3 Y 0.500 0.500 0.500
4 In 0.000 0.000 0.500



(3)
ZnIn2Mo2 | meta-GGA SCAN | PBEsol geometry

Summary:
M_tot ... 0.0 μB per cell
Crystal system ... tetragonal
Energy ... -146.26 eV per cell
DOS(E_F) ... 3.8 states/eV/f.u.

a b c (Å): 3.868 3.868 7.081
angles (deg): 105.85 105.85 90.00
Atoms (fractional coordinates):
1 Mo 0.416 0.416 0.831
2 Mo 0.584 0.584 0.169
3 In 0.250 0.750 0.500
4 In 0.750 0.250 0.500
5 Zn 0.000 0.000 0.000



(4)
ZnIn2Mo | meta-GGA SCAN | PBEsol geometry

Summary:
M_tot ... 0.0 μB per cell
Crystal system ... orthorhombic
Energy ... -114.01 eV per cell
DOS(E_F) ... 2.5 states/eV/f.u.

a b c (Å): 2.971 5.066 5.066
angles (deg): 110.54 90.00 90.00
Atoms (fractional coordinates):
1 Mo 0.500 0.500 0.500
2 In 0.000 0.500 0.000
3 In 0.000 0.000 0.500
4 Zn 0.500 0.000 0.000



(5)
ZrInMo3 | meta-GGA SCAN | PBEsol geometry

Summary:
M_tot ... 0.0 μB per cell
Crystal system ... cubic
Energy ... -158.20 eV per cell
DOS(E_F) ... 6.3 states/eV/f.u.

a b c (Å): 4.805 4.805 4.805
angles (deg): 90.00 90.00 90.00
Atoms (fractional coordinates):
1 Zr 0.500 0.500 0.500
2 Mo 0.000 0.500 0.000
3 Mo 0.500 0.000 0.000
4 Mo 0.000 0.000 0.500
5 In 0.000 0.000 0.000



(6)
InN | meta-GGA SCAN | PBEsol geometry

Summary:
Offset from the most stable computed form ... 0.0124 eV/atom
M_tot ... 0.0 μB per cell
Crystal system ... cubic
Energy ... -42.78 eV per cell
DOS(E_F) ... 0.1 states/eV/f.u.
Formation energy without anion corrections ... -0.05 eV/atom

a b c (Å): 3.528 3.528 3.528
angles (deg): 60.00 60.00 60.00
Atoms (fractional coordinates):
1 In 0.000 0.000 0.000
2 N 0.750 0.750 0.750



(7)
InN | meta-GGA SCAN | PBEsol geometry

Summary:
Offset from the most stable computed form ... 0.0000 eV/atom
M_tot ... 0.0 μB per cell
Crystal system ... hexagonal
Energy ... -85.61 eV per cell
DOS(E_F) ... 0.2 states/eV/f.u.
Formation energy without anion corrections ... -0.06 eV/atom

a b c (Å): 3.539 3.539 5.715
angles (deg): 90.00 90.00 120.00
Atoms (fractional coordinates):
1 In 0.333 0.667 0.499
2 In 0.667 0.333 0.999
3 N 0.667 0.333 0.621
4 N 0.333 0.667 0.121



(8)
NaInNO2 | meta-GGA SCAN | PBEsol geometry

Summary:
M_tot ... 3.0 μB per cell
Crystal system ... tetragonal
Energy ... -60.28 eV per cell
DOS(E_F) ... 2.5 states/eV/f.u.
Formation energy without anion corrections ... -0.19 eV/atom

a b c (Å): 4.195 4.195 4.311
angles (deg): 90.00 90.00 90.00
Atoms (fractional coordinates):
1 O 0.000 0.500 0.000
2 O 0.500 0.000 0.000
3 In 0.000 0.000 0.000
4 N 0.000 0.000 0.500
5 Na 0.500 0.500 0.500



- Look up the energy of the eighth one.
  -60.28 eV per cell